{
  "formula": "ZrCdAu",
  "functional": "PBE-GGA",
  "state": "relaxed",
  "energy_ev_per_atom": -4.120,
  "formation_enthalpy_0k_kj_per_mol_atoms": 11,
  "lattice": [[0.000, 3.307, 3.307], [3.307, 0.000, 3.307], [3.307, 3.307, 0.000]],
  "species": ["Au", "Cd", "Zr"],
  "frac_coords": [[0.250, 0.250, 0.250], [0.750, 0.750, 0.750], [0.000, 0.000, 0.000]]
}